This record from the Alexandria database describes a relaxed structure of Li2ZrS. The functional is PBE.

Computed properties:
The size of the total moment comes out at 0.00 μB per formula unit. As for the crystal system: tetragonal. The energy relative to the elements, uncorrected comes out at -0.41 eV per atom. Its space group is I-42d (122).

Lattice parameters (Å, degrees): 5.9361 5.9361 5.9361 100.40 100.40 129.70
Last column: nearest neighbours and their distance in Å.
Positions (direct):
Li: 0.0505 0.6250 0.9255  2 S 2.41
Li: 0.3750 0.3005 0.4255  2 S 2.41
Li: 0.6995 0.1250 0.0745  2 S 2.41
Li: 0.8750 0.9495 0.5745  2 S 2.41
Zr: 0.2500 0.7500 0.5000  2 S 2.52
Zr: 0.5000 0.5000 0.0000  2 S 2.52
S: 0.0000 0.0000 0.0000  4 Li 2.41, 2 Zr 2.52
S: 0.7500 0.2500 0.5000  4 Li 2.41, 2 Zr 2.52

***

This record from the Alexandria database describes a relaxed structure of Sr2Ag15Pb2. The functional is PBE.

Computed properties:
The calculation puts the energy relative to the elements at -0.0825 eV/atom. The size of the total moment comes out at 0.00 μB per formula unit. As for the crystal system: trigonal. Its space group is R-3m (166).

Lattice parameters (Å, degrees): 7.4941 7.4941 7.4941 83.68 83.68 83.68
Last column: nearest neighbours and their distance in Å.
Positions (direct):
Sr: 0.1517 0.1517 0.1517  12 Ag 3.43-3.65, 1 Pb 3.51
Sr: 0.8483 0.8483 0.8483  12 Ag 3.43-3.65, 1 Pb 3.51
Ag: 0.0000 0.5000 0.5000  8 Ag 2.87-2.92, 2 Pb 3.02
Ag: 0.1538 0.1538 0.6643  8 Ag 2.84-2.99, 1 Pb 3.13
Ag: 0.1538 0.6643 0.1538  8 Ag 2.84-2.99, 1 Pb 3.13
Ag: 0.1838 0.5000 0.8162  8 Ag 2.87-3.16
Ag: 0.1838 0.8162 0.5000  8 Ag 2.87-3.16
Ag: 0.3357 0.8462 0.8462  8 Ag 2.84-2.99, 1 Pb 3.13
Ag: 0.5000 0.0000 0.5000  8 Ag 2.87-2.92, 2 Pb 3.02
Ag: 0.5000 0.1838 0.8162  8 Ag 2.87-3.16
Ag: 0.5000 0.5000 0.0000  8 Ag 2.87-2.92, 2 Pb 3.02
Ag: 0.5000 0.8162 0.1838  8 Ag 2.87-3.16
Ag: 0.6643 0.1538 0.1538  8 Ag 2.84-2.99, 1 Pb 3.13
Ag: 0.8162 0.1838 0.5000  8 Ag 2.87-3.16
Ag: 0.8162 0.5000 0.1838  8 Ag 2.87-3.16
Ag: 0.8462 0.3357 0.8462  8 Ag 2.84-2.99, 1 Pb 3.13
Ag: 0.8462 0.8462 0.3357  8 Ag 2.84-2.99, 1 Pb 3.13
Pb: 0.3965 0.3965 0.3965  1 Pb 2.97, 6 Ag 3.02-3.13
Pb: 0.6035 0.6035 0.6035  1 Pb 2.97, 6 Ag 3.02-3.13

***

This record from the Alexandria database describes a relaxed structure of K4Be. The functional is PBE.

Computed properties:
Its energy relative to the lowest polymorph listed for this composition is 226 meV per atom. The calculation puts the energy relative to the elements at 0.6925 eV/atom. The size of the total moment comes out at 0.00 μB per formula unit. As for the crystal system: tetragonal. Its space group is I4/mmm (139).

Lattice parameters (Å, degrees): 12.0520 12.0520 12.0520 154.86 154.86 35.86
Last column: nearest neighbours and their distance in Å.
Positions (direct):
K: 0.0811 0.0811 0.0000  1 K 3.72, 4 Be 4.15
K: 0.2500 0.7500 0.5000  4 K 3.71
K: 0.7500 0.2500 0.5000  4 K 3.71
K: 0.9189 0.9189 0.0000  1 K 3.72, 4 Be 4.15
Be: 0.5000 0.5000 0.0000  8 K 4.15

***

This record from the Alexandria database describes a relaxed structure of Ca4Pr3In4. The functional is PBE.

Computed properties:
The calculation puts the energy relative to the elements at -0.3055 eV/atom. The size of the total moment comes out at 0.00 μB per formula unit. As for the crystal system: orthorhombic. Its space group is Immm (71).

Lattice parameters (Å, degrees): 9.9579 9.9579 9.9579 148.31 136.16 55.10
Last column: nearest neighbours and their distance in Å.
Positions (direct):
Ca: 0.0501 0.8197 0.2304  4 In 3.14-3.23, 1 Ca 3.43
Ca: 0.4107 0.1803 0.2304  4 In 3.14-3.23, 1 Ca 3.43
Ca: 0.5893 0.8197 0.7696  4 In 3.14-3.23, 1 Ca 3.43
Ca: 0.9499 0.1803 0.7696  4 In 3.14-3.23, 1 Ca 3.43
Pr: 0.0000 0.5000 0.5000  6 In 3.23-3.52
Pr: 0.4003 0.4003 0.0000  1 Pr 3.52, 4 In 3.56, 4 Ca 3.67
Pr: 0.5997 0.5997 0.0000  1 Pr 3.52, 4 In 3.56, 4 Ca 3.67
In: 0.1829 0.6829 0.5000  6 Ca 3.14-3.21, 1 Pr 3.23
In: 0.3011 0.0000 0.3011  1 In 2.96, 2 Ca 3.23
In: 0.6989 0.0000 0.6989  1 In 2.96, 2 Ca 3.23
In: 0.8171 0.3171 0.5000  6 Ca 3.14-3.21, 1 Pr 3.23

***

This record from the Alexandria database describes a relaxed structure of CeGd2Tm. The functional is PBE.

Computed properties:
Its energy relative to the lowest polymorph listed for this composition is 79 meV per atom. The calculation puts the energy relative to the elements at 0.1461 eV/atom. The size of the total moment comes out at 17.39 μB per formula unit. As for the crystal system: cubic. Its space group is Fm-3m (225).

Lattice parameters (Å, degrees): 5.6596 5.6596 5.6596 60.00 60.00 60.00
Last column: nearest neighbours and their distance in Å.
Positions (direct):
Ce: 0.0000 0.0000 0.0000  8 Gd 3.47
Gd: 0.2500 0.2500 0.2500  4 Ce 3.47, 4 Tm 3.47
Gd: 0.7500 0.7500 0.7500  4 Ce 3.47, 4 Tm 3.47
Tm: 0.5000 0.5000 0.5000  8 Gd 3.47

***

This record from the Alexandria database describes a relaxed structure of Tb2SmAg. The functional is PBE.

Computed properties:
Its energy relative to the lowest polymorph listed for this composition is 140 meV per atom. The calculation puts the energy relative to the elements at 0.0100 eV/atom. The size of the total moment comes out at 0.00 μB per formula unit. As for the crystal system: tetragonal. Its space group is P4/mmm (123).

Lattice parameters (Å, degrees): 5.5062 5.5062 3.6842 90.00 90.00 90.00
Last column: nearest neighbours and their distance in Å.
Positions (direct):
Tb: 0.0000 0.5000 0.0000  4 Ag 3.31, 4 Sm 3.31, 2 Tb 3.68
Tb: 0.5000 0.0000 0.0000  4 Ag 3.31, 4 Sm 3.31, 2 Tb 3.68
Sm: 0.0000 0.0000 0.5000  8 Tb 3.31, 2 Sm 3.68
Ag: 0.5000 0.5000 0.5000  8 Tb 3.31, 2 Ag 3.68

***

This record from the Alexandria database describes a relaxed structure of HfAgP2Au. The functional is PBE.

Computed properties:
The calculation puts the energy relative to the elements at 0.8816 eV/atom. The size of the total moment comes out at 0.00 μB per formula unit. As for the crystal system: tetragonal. Its space group is P4/mmm (123).

Lattice parameters (Å, degrees): 4.7525 4.7525 4.8956 90.00 90.00 90.00
Last column: nearest neighbours and their distance in Å.
Positions (direct):
Hf: 0.0000 0.0000 0.0000  4 Ag 3.36, 8 P 3.41
Ag: 0.5000 0.5000 0.0000  2 Au 2.45
P: 0.0000 0.5000 0.5000  2 Au 2.38
P: 0.5000 0.0000 0.5000  2 Au 2.38
Au: 0.5000 0.5000 0.5000  4 P 2.38, 2 Ag 2.45

***

This record from the Alexandria database describes a relaxed structure of La9Nd4Ag11. The functional is PBE.

Computed properties:
The calculation puts the energy relative to the elements at -0.1817 eV/atom. The size of the total moment comes out at 0.00 μB per formula unit. As for the crystal system: orthorhombic. Its space group is Cmmm (65).

Lattice parameters (Å, degrees): 13.9715 13.9715 3.6952 90.00 90.00 112.12
Last column: nearest neighbours and their distance in Å.
Positions (direct):
La: 0.0000 0.0000 0.0000  4 Nd 3.18
La: 0.1324 0.6405 0.0000  8 Ag 3.22-3.47, 1 Nd 3.54, 1 La 3.54
La: 0.2892 0.4534 0.0000  8 Ag 3.30-3.43, 1 Nd 3.51
La: 0.3595 0.8676 0.0000  8 Ag 3.22-3.47, 1 Nd 3.54, 1 La 3.54
La: 0.4534 0.2892 0.0000  8 Ag 3.30-3.43, 1 Nd 3.51
La: 0.5466 0.7108 0.0000  8 Ag 3.30-3.43, 1 Nd 3.51
La: 0.6405 0.1324 0.0000  8 Ag 3.22-3.47, 1 Nd 3.54, 1 La 3.54
La: 0.7108 0.5466 0.0000  8 Ag 3.30-3.43, 1 Nd 3.51
La: 0.8676 0.3595 0.0000  8 Ag 3.22-3.47, 1 Nd 3.54, 1 La 3.54
Nd: 0.0520 0.2418 0.0000  6 Ag 3.17-3.21, 3 La 3.18-3.54
Nd: 0.2418 0.0520 0.0000  6 Ag 3.17-3.21, 3 La 3.18-3.54
Nd: 0.7582 0.9480 0.0000  6 Ag 3.17-3.21, 3 La 3.18-3.54
Nd: 0.9480 0.7582 0.0000  6 Ag 3.17-3.21, 3 La 3.18-3.54
Ag: 0.0794 0.4385 0.5000  2 Nd 3.21, 6 La 3.22-3.41, 1 Ag 3.28
Ag: 0.1452 0.8548 0.5000  4 Nd 3.17, 4 La 3.47
Ag: 0.2323 0.2323 0.5000  4 Nd 3.17, 4 La 3.43
Ag: 0.3380 0.6620 0.5000  8 La 3.30-3.33
Ag: 0.4385 0.0794 0.5000  2 Nd 3.21, 6 La 3.22-3.41, 1 Ag 3.28
Ag: 0.5000 0.5000 0.5000  8 La 3.33, 2 Ag 3.70
Ag: 0.5615 0.9206 0.5000  2 Nd 3.21, 6 La 3.22-3.41, 1 Ag 3.28
Ag: 0.6620 0.3380 0.5000  8 La 3.30-3.33
Ag: 0.7677 0.7677 0.5000  4 Nd 3.17, 4 La 3.43
Ag: 0.8548 0.1452 0.5000  4 Nd 3.17, 4 La 3.47
Ag: 0.9206 0.5615 0.5000  2 Nd 3.21, 6 La 3.22-3.41, 1 Ag 3.28

***

This record from the Alexandria database describes a relaxed structure of SrNb2VCo. The functional is PBE.

Computed properties:
The calculation puts the energy relative to the elements at 1.2574 eV/atom. The size of the total moment comes out at 0.04 μB per formula unit. As for the crystal system: tetragonal. Its space group is P4/mmm (123).

Lattice parameters (Å, degrees): 4.6307 4.6307 5.3028 90.00 90.00 90.00
Last column: nearest neighbours and their distance in Å.
Positions (direct):
Sr: 0.0000 0.0000 0.0000  2 Co 2.65
Nb: 0.0000 0.5000 0.5000  2 Co 2.32
Nb: 0.5000 0.0000 0.5000  2 Co 2.32
V: 0.5000 0.5000 0.0000  4 Sr 3.27, 8 Nb 3.52
Co: 0.0000 0.0000 0.5000  4 Nb 2.32

***

This record from the Alexandria database describes a relaxed structure of MnCr2HW. The functional is PBE.

Computed properties:
The size of the total moment comes out at 2.24 μB per formula unit. As for the crystal system: tetragonal. Its space group is P4/mmm (123). The total DFT energy (no corrections) comes out at -8.795 eV per atom.

Lattice parameters (Å, degrees): 4.0453 4.0453 3.2795 90.00 90.00 90.00
Last column: nearest neighbours and their distance in Å.
Positions (direct):
Mn: 0.0000 0.0000 0.0000  2 H 1.64
Cr: 0.0000 0.5000 0.5000  2 H 2.02
Cr: 0.5000 0.0000 0.5000  2 H 2.02
H: 0.0000 0.0000 0.5000  2 Mn 1.64
W: 0.5000 0.5000 0.0000  8 Cr 2.60, 4 Mn 2.86